Density functional theory data (PBE) for AcAg2Pd after structural relaxation.

Computed properties:
- DOS(E_F): 0.40 states/eV per atom
- DFT formation energy: -42.3 kJ/mol of atoms
- Excess energy over the best structure of this formula in the dataset: 0.000 eV per formula unit
- ρ: 9.77 g cm⁻³
- V: 23.34 Å³ per atom

```
data_AcAg2Pd
_chemical_formula_sum 'Ac2 Ag4 Pd2'
_cell_length_a 4.583
_cell_length_b 7.779
_cell_length_c 5.716
_cell_angle_alpha 90.00
_cell_angle_beta 113.63
_cell_angle_gamma 90.00
_symmetry_space_group_name_H-M 'P 1 21/m 1'
_symmetry_Int_Tables_number 11
loop_
_symmetry_equiv_pos_as_xyz
'x,y,z'
'-x,-y,-z'
'-x,y+1/2,-z'
'x,-y+1/2,z'
loop_
_atom_site_label
_atom_site_fract_x
_atom_site_fract_y
_atom_site_fract_z
_atom_site_occupancy
Ac1 0.078 0.250 0.155 1
Ag1 0.366 0.059 0.733 1
Pd1 0.214 0.750 0.426 1
```